No. 1
12
Lattice="6.217 0.000 0.000 0.000 6.194 -0.763 -3.108 -3.460 8.028" Properties=species:S:1:pos:R:3 comment="Ce4SbN (PBE, optimized geometry)" magnetic_moment_mub_per_atom=0.4335 formation_energy_uncorrected_kj_per_mol_fu=-388 pbc="T T T"
Ce 1.246 -2.012 6.452
Ce 4.355 1.648 1.194
Ce 1.862 4.745 0.812
Ce -1.246 1.085 6.070
Ce 3.768 3.620 3.887
Ce 0.659 2.211 2.996
Ce -0.659 -0.886 3.377
Ce 2.450 0.522 4.269
Sb 1.731 1.185 7.455
Sb 1.378 1.548 -0.191
N 1.554 -1.730 4.014
N -1.554 1.367 3.632

No. 2
20
Lattice="-1.548 0.573 5.947 -4.700 -9.827 -0.276 10.532 0.861 2.659" Properties=species:S:1:pos:R:3 comment="Sm3HoTm6 (PBE, optimized geometry)" magnetic_moment_mub_per_atom=0.0000 formation_enthalpy_0k_kj_per_mol_fu=146 pbc="T T T"
Sm 2.450 -8.337 4.383
Sm 5.017 -5.706 8.000
Sm 4.464 -3.289 1.897
Sm 0.393 -5.316 4.235
Sm 1.186 0.183 6.435
Sm -1.380 -2.447 2.818
Ho 7.152 -1.269 2.917
Ho -2.545 -7.244 4.171
Tm 3.087 -6.448 1.646
Tm 3.778 -5.134 4.902
Tm 7.019 -4.261 4.582
Tm -0.178 -8.481 6.317
Tm -4.627 -9.088 2.328
Tm 5.246 -1.786 5.636
Tm -0.621 -6.733 1.383
Tm 8.401 0.884 7.961
Tm 4.103 0.221 3.391
Tm -3.093 -4.000 5.127
Tm 1.173 -3.506 0.865
Tm 1.864 -2.192 4.120

No. 3
6
Lattice="-0.712 2.924 -1.913 -2.520 0.917 2.351 6.670 1.905 3.725" Properties=species:S:1:pos:R:3 comment="Th2ZrN3 (PBE, optimized geometry)" magnetic_moment_mub_per_atom=0.0000 formation_energy_uncorrected_kj_per_mol_fu=-868 pbc="T T T"
Th 1.007 0.749 0.784
Th 1.168 4.014 2.389
Zr 4.423 3.334 3.449
N 2.806 5.254 3.669
N 2.840 2.138 2.214
N -0.665 2.625 0.958

No. 4
5
Lattice="-2.383 -0.136 -3.385 -3.004 -1.826 2.188 -1.564 3.714 0.952" Properties=species:S:1:pos:R:3 comment="HfTc3O (PBE, optimized geometry)" magnetic_moment_mub_per_atom=0.0000 formation_energy_uncorrected_kj_per_mol_fu=-129 pbc="T T T"
Hf -3.476 0.876 -0.122
Tc -1.502 -0.913 1.094
Tc -0.782 1.857 0.476
Tc -1.191 -0.068 -1.692
O 0.000 0.000 0.000

No. 5
13
Lattice="5.363 0.000 0.000 2.681 6.431 0.000 2.681 0.000 6.431" Properties=species:S:1:pos:R:3 comment="PrPd4Pt8 (PBE, optimized geometry)" magnetic_moment_mub_per_atom=0.0000 formation_enthalpy_0k_kj_per_mol_fu=-262 pbc="T T T"
Pr 0.000 0.000 0.000
Pd 1.341 0.000 3.216
Pd 4.022 0.000 3.216
Pd 1.341 3.216 0.000
Pd 4.022 3.216 0.000
Pt 2.681 2.252 4.179
Pt 2.681 4.179 2.252
Pt 5.363 4.179 4.179
Pt 5.363 2.252 2.252
Pt 5.363 5.024 1.408
Pt 5.363 1.408 5.024
Pt 2.681 1.408 1.408
Pt 8.044 5.024 5.024

No. 6
12
Lattice="-5.347 1.850 -0.205 -1.535 -4.712 -2.485 -0.506 -0.612 7.657" Properties=species:S:1:pos:R:3 comment="YSi3NiPt (PBE, optimized geometry)" magnetic_moment_mub_per_atom=0.0000 formation_energy_uncorrected_kj_per_mol_fu=-298 pbc="T T T"
Y -4.816 -0.490 3.905
Y -2.572 -2.983 1.062
Si -1.944 -0.953 3.008
Si -0.378 -1.159 -0.611
Si -3.831 -2.628 -1.976
Si -3.051 -0.234 -0.714
Si -1.157 -3.553 -1.874
Si -5.444 -2.521 1.960
Ni -1.547 -0.027 1.007
Ni -5.841 -3.447 3.960
Pt -2.360 -1.922 5.102
Pt -5.028 -1.552 -0.135

| no. | theoretical density (g cm⁻³) |
| --- | --- |
| 1 | 7.90 |
| 2 | 8.50 |
| 3 | 10.45 |
| 4 | 11.42 |
| 5 | 15.93 |
| 6 | 6.29 |